No. 1
Density functional theory data (SCAN) for a PBEsol-optimized structure of Cu3BPd.

D(E_F) (states/eV/cell): 3.442
Calculated formation energy (eV per formula unit): 9.174
Spin magnetization (μB per formula unit): 0.00

```
data_Cu3BPd
_chemical_formula_sum 'Cu3 B1 Pd1'
_space_group_name_H-M_alt 'P 1'
_space_group_IT_number 1
_cell_length_a 4.555
_cell_length_b 4.555
_cell_length_c 4.555
_cell_angle_alpha 90.00
_cell_angle_beta 90.00
_cell_angle_gamma 90.00
loop_
_space_group_symop_operation_xyz
'x,y,z'
loop_
_atom_site_label
_atom_site_fract_x
_atom_site_fract_y
_atom_site_fract_z
B1 0.500 0.500 0.500
Cu1 0.000 0.500 0.000
Cu2 0.000 0.000 0.500
Cu3 0.500 0.000 0.000
Pd1 0.000 0.000 0.000
```


No. 2
Density functional theory data (SCAN) for a PBEsol-optimized structure of CuB2Pt2.

D(E_F) (states/eV/cell): 0.955
Calculated formation energy (eV per formula unit): -1.236
Spin magnetization (μB per formula unit): 0.00

```
data_CuB2Pt2
_chemical_formula_sum 'Cu1 B2 Pt2'
_space_group_name_H-M_alt 'P 1'
_space_group_IT_number 1
_cell_length_a 3.121
_cell_length_b 3.121
_cell_length_c 6.209
_cell_angle_alpha 104.55
_cell_angle_beta 104.55
_cell_angle_gamma 90.00
loop_
_space_group_symop_operation_xyz
'x,y,z'
loop_
_atom_site_label
_atom_site_fract_x
_atom_site_fract_y
_atom_site_fract_z
B1 0.250 0.750 0.500
B2 0.750 0.250 0.500
Pt1 0.376 0.376 0.751
Pt2 0.624 0.624 0.249
Cu1 0.000 0.000 0.000
```


No. 3
Density functional theory data (SCAN) for a PBEsol-optimized structure of Cu3B5Pt9.

D(E_F) (states/eV/cell): 3.332
Calculated formation energy (eV per formula unit): -4.866
Spin magnetization (μB per formula unit): 0.00

```
data_Cu3B5Pt9
_chemical_formula_sum 'Cu3 B5 Pt9'
_space_group_name_H-M_alt 'P 1'
_space_group_IT_number 1
_cell_length_a 2.953
_cell_length_b 8.977
_cell_length_c 8.977
_cell_angle_alpha 120.00
_cell_angle_beta 90.00
_cell_angle_gamma 90.00
loop_
_space_group_symop_operation_xyz
'x,y,z'
loop_
_atom_site_label
_atom_site_fract_x
_atom_site_fract_y
_atom_site_fract_z
Cu1 0.000 0.542 0.542
Cu2 0.000 0.000 0.458
Cu3 0.000 0.458 0.000
B1 0.500 0.188 0.188
B2 0.500 0.000 0.812
B3 0.500 0.812 0.000
B4 0.000 0.333 0.667
B5 0.000 0.667 0.333
Pt1 0.500 0.195 0.733
Pt2 0.500 0.539 0.805
Pt3 0.500 0.267 0.461
Pt4 0.500 0.733 0.195
Pt5 0.500 0.805 0.539
Pt6 0.500 0.461 0.267
Pt7 0.000 0.823 0.823
Pt8 0.000 0.000 0.177
Pt9 0.000 0.177 0.000
```


Question: D(E_F) of number 1 (Cu3BPd)?
Answer: 3.442 states/eV/cell


Question: D(E_F) of number 2 (CuB2Pt2)?
Answer: 0.955 states/eV/cell


Question: Number 3 is which compound?
Answer: Cu3B5Pt9


Question: Among the records above, which one has the lowest calculated formation energy?
Answer: Cu3B5Pt9